12
Lattice="5.2001 0.0000 0.0000 0.0000 5.2948 0.0000 0.0000 0.0000 7.1868" Properties=species:S:1:pos:R:3 comment="TbBeOs PBE relaxed" space_group="Imma, No. 74" ef_ev_per_fu=-0.64 pbc="T T T"
Tb 0.0000 1.3237 0.8664
Tb 0.0000 3.9711 6.3204
Tb 2.6001 1.3237 2.7270
Tb 2.6001 3.9711 4.4598
Be 0.0000 0.0000 3.5934
Be 0.0000 2.6474 3.5934
Be 2.6001 0.0000 0.0000
Be 2.6001 2.6474 0.0000
Os 1.3000 1.3237 5.3901
Os 1.3000 3.9711 1.7967
Os 3.9001 1.3237 5.3901
Os 3.9001 3.9711 1.7967